Entry from the Alexandria database: a relaxed structure of Nb12Al3Si (PBE-GGA).

abc: 5.1899 5.1986 10.3584
angles: 90.00 90.00 90.00
Atoms (fractional coordinates):
Nb1 0.0000 0.0000 0.1230
Nb2 0.0000 0.0000 0.3751
Nb3 0.0000 0.0000 0.6249
Nb4 0.0000 0.0000 0.8770
Nb5 0.2517 0.5000 0.5000
Nb6 0.2536 0.5000 0.0000
Nb7 0.5000 0.2474 0.2455
Nb8 0.5000 0.2474 0.7545
Nb9 0.5000 0.7526 0.2455
Nb10 0.5000 0.7526 0.7545
Nb11 0.7464 0.5000 0.0000
Nb12 0.7483 0.5000 0.5000
Al1 0.0000 0.5000 0.2501
Al2 0.0000 0.5000 0.7499
Al3 0.5000 0.0000 0.5000
Si1 0.5000 0.0000 0.0000

Output
- Uncorrected energy: -8.83 eV/atom
- Size of the total moment: 0.00 μB/cell
- SG: No. 47
- Mass density: 7.272 g cm⁻³



Entry from the Alexandria database: a relaxed structure of MnGaI2 (PBE-GGA).

abc: 5.4092 5.4092 5.4092
angles: 60.00 60.00 60.00
Atoms (fractional coordinates):
Mn1 0.0000 0.0000 0.0000
Ga1 0.5000 0.5000 0.5000
I1 0.2500 0.2500 0.2500
I2 0.7500 0.7500 0.7500

Output
- Uncorrected energy: -3.59 eV/atom
- Size of the total moment: 4.41 μB/cell
- SG: No. 225
- Mass density: 5.616 g cm⁻³



Entry from the Alexandria database: a relaxed structure of CaZn2GeAu5 (PBE-GGA).

abc: 4.8306 4.8306 7.7706
angles: 90.00 90.00 90.00
Atoms (fractional coordinates):
Ca1 0.0000 0.0000 0.0000
Zn1 0.5000 0.5000 0.3460
Zn2 0.5000 0.5000 0.6540
Ge1 0.0000 0.0000 0.5000
Au1 0.0000 0.5000 0.2472
Au2 0.0000 0.5000 0.7528
Au3 0.5000 0.0000 0.2472
Au4 0.5000 0.0000 0.7528
Au5 0.5000 0.5000 0.0000

Output
- E_form: -0.1645 eV per atom
- Uncorrected energy: -3.00 eV/atom
- Size of the total moment: 0.00 μB/cell
- SG: No. 123
- Mass density: 11.249 g cm⁻³



Entry from the Alexandria database: a relaxed structure of ThZrPaSn (PBE-GGA).

abc: 5.2601 5.2601 5.2601
angles: 60.00 60.00 60.00
Atoms (fractional coordinates):
Th1 0.0000 0.0000 0.0000
Zr1 0.5000 0.5000 0.5000
Pa1 0.2500 0.2500 0.2500
Sn1 0.7500 0.7500 0.7500

Output
- E_form: -0.0010 eV per atom
- Uncorrected energy: -7.37 eV/atom
- Size of the total moment: 0.00 μB/cell
- SG: No. 216
- Mass density: 10.859 g cm⁻³



Entry from the Alexandria database: a relaxed structure of CaTcSb2 (PBE-GGA).

abc: 6.4850 6.4850 6.4850
angles: 104.91 104.91 119.04
Atoms (fractional coordinates):
Ca1 0.0000 0.0000 0.0000
Ca2 0.7500 0.2500 0.5000
Tc1 0.2500 0.7500 0.5000
Tc2 0.5000 0.5000 0.0000
Sb1 0.1794 0.6250 0.0544
Sb2 0.3750 0.4294 0.5544
Sb3 0.5706 0.1250 0.9456
Sb4 0.8750 0.8206 0.4456

Output
- Uncorrected energy: -5.17 eV/atom
- Size of the total moment: 0.04 μB/cell
- SG: No. 122
- Relative energy among the computed polymorphs: 223 meV/atom
- Mass density: 6.167 g cm⁻³



Entry from the Alexandria database: a relaxed structure of KGa6Ge2 (PBE-GGA).

abc: 4.1739 4.1739 11.3495
angles: 90.00 90.00 90.00
Atoms (fractional coordinates):
K1 0.0000 0.0000 0.0000
Ga1 0.0000 0.0000 0.5000
Ga2 0.0000 0.5000 0.3077
Ga3 0.0000 0.5000 0.6923
Ga4 0.5000 0.0000 0.3077
Ga5 0.5000 0.0000 0.6923
Ga6 0.5000 0.5000 0.5000
Ge1 0.5000 0.5000 0.1616
Ge2 0.5000 0.5000 0.8384

Output
- E_form: 0.0061 eV per atom
- Uncorrected energy: -3.16 eV/atom
- Size of the total moment: 0.00 μB/cell
- SG: No. 123
- Mass density: 5.062 g cm⁻³



Entry from the Alexandria database: a relaxed structure of In2AgW (PBE-GGA).

abc: 10.0763 10.0763 10.0763
angles: 155.71 155.71 34.62
Atoms (fractional coordinates):
In1 0.1137 0.6250 0.9887
In2 0.3750 0.3637 0.4887
In3 0.6363 0.1250 0.0113
In4 0.8750 0.8863 0.5113
Ag1 0.2500 0.7500 0.5000
Ag2 0.5000 0.5000 0.0000
W1 0.0000 0.0000 0.0000
W2 0.7500 0.2500 0.5000

Output
- E_form: 0.9171 eV per atom
- Uncorrected energy: -4.40 eV/atom
- Size of the total moment: 0.00 μB/cell
- SG: No. 122
- Relative energy among the computed polymorphs: 512 meV/atom
- Mass density: 10.013 g cm⁻³